Version w
Na3Sr2Hg4 after structural relaxation. Source: Alexandria via LeMat-Bulk, functional PBE.

Size of the total moment ... 0.000 μB per formula unit
Space group ... C2/m, No. 12

Cell: 5.4086 5.4086 10.9077 Å, 92.65 92.65 58.44°
Atoms (fractional coordinates):
Na  0.0000  0.0000  0.0000
Na  0.3417  0.3417  0.4265
Na  0.6583  0.6583  0.5735
Sr  0.3279  0.3279  0.7843
Sr  0.6721  0.6721  0.2157
Hg  0.0120  0.0120  0.3576
Hg  0.3364  0.3364  0.0971
Hg  0.6636  0.6636  0.9029
Hg  0.9880  0.9880  0.6424


Version x
Na3Sr2Hg4 after structural relaxation. Source: Alexandria via LeMat-Bulk, functional PBE.

Size of the total moment ... 0.000 μB per formula unit
Space group ... Cmce, No. 64

Cell: 9.7110 9.7110 8.8711 Å, 90.00 90.00 139.10°
Atoms (fractional coordinates):
Na  0.0000  0.0000  0.0000
Na  0.0323  0.4677  0.2500
Na  0.4677  0.0323  0.7500
Na  0.5000  0.5000  0.5000
Na  0.5323  0.9677  0.2500
Na  0.9677  0.5323  0.7500
Sr  0.1073  0.8927  0.4128
Sr  0.3927  0.6073  0.9128
Sr  0.6073  0.3927  0.0872
Sr  0.8927  0.1073  0.5872
Hg  0.1740  0.8260  0.0443
Hg  0.2017  0.2983  0.2500
Hg  0.2983  0.2017  0.7500
Hg  0.3260  0.6740  0.5443
Hg  0.6740  0.3260  0.4557
Hg  0.7017  0.7983  0.2500
Hg  0.7983  0.7017  0.7500
Hg  0.8260  0.1740  0.9557


Stability check: which of them is least stable? version x.


Version w
Na2SrHg2 after structural relaxation. Source: Alexandria via LeMat-Bulk, functional PBE.

Size of the total moment ... 0.000 μB per formula unit
Space group ... I4/mmm, No. 139

Cell: 4.5908 4.5908 14.7195 Å, 90.00 90.00 90.00°
Atoms (fractional coordinates):
Na  0.0000  0.5000  0.2500
Na  0.0000  0.5000  0.7500
Na  0.5000  0.0000  0.2500
Na  0.5000  0.0000  0.7500
Sr  0.0000  0.0000  0.0000
Sr  0.5000  0.5000  0.5000
Hg  0.0000  0.0000  0.3986
Hg  0.0000  0.0000  0.6014
Hg  0.5000  0.5000  0.1014
Hg  0.5000  0.5000  0.8986


Version x
Na2SrHg2 after structural relaxation. Source: Alexandria via LeMat-Bulk, functional PBE.

Size of the total moment ... 0.000 μB per formula unit
Space group ... P2_1/m, No. 11

Cell: 5.6435 4.2087 13.5886 Å, 90.00 95.67 90.00°
Atoms (fractional coordinates):
Na  0.1602  0.2500  0.1060
Na  0.2517  0.7500  0.5068
Na  0.7483  0.2500  0.4932
Na  0.8398  0.7500  0.8940
Sr  0.2954  0.2500  0.7468
Sr  0.7046  0.7500  0.2532
Hg  0.2231  0.2500  0.3330
Hg  0.3487  0.7500  0.9453
Hg  0.6513  0.2500  0.0547
Hg  0.7769  0.7500  0.6670


Stability check: which of them is least stable? version x.


Version w
Na2SrHg2 after structural relaxation. Source: Alexandria via LeMat-Bulk, functional PBE.

Size of the total moment ... 0.000 μB per formula unit
Space group ... C2/m, No. 12

Cell: 9.4437 5.5066 6.4130 Å, 90.00 90.07 90.00°
Atoms (fractional coordinates):
Na  0.1681  0.0000  0.1382
Na  0.3319  0.5000  0.8618
Na  0.6681  0.5000  0.1382
Na  0.8319  0.0000  0.8618
Sr  0.0000  0.5000  0.5000
Sr  0.5000  0.0000  0.5000
Hg  0.1656  0.0000  0.6525
Hg  0.3344  0.5000  0.3475
Hg  0.6656  0.5000  0.6525
Hg  0.8344  0.0000  0.3475


Version x
Na2SrHg2 after structural relaxation. Source: Alexandria via LeMat-Bulk, functional PBE.

Size of the total moment ... 0.000 μB per formula unit
Space group ... P4/mbm, No. 127

Cell: 8.8360 8.8360 3.7110 Å, 90.00 90.00 90.00°
Atoms (fractional coordinates):
Na  0.1184  0.3816  0.0000
Na  0.3816  0.8816  0.0000
Na  0.6184  0.1184  0.0000
Na  0.8816  0.6184  0.0000
Sr  0.0000  0.0000  0.0000
Sr  0.5000  0.5000  0.0000
Hg  0.1817  0.6817  0.5000
Hg  0.3183  0.1817  0.5000
Hg  0.6817  0.8183  0.5000
Hg  0.8183  0.3183  0.5000


Stability check: which of them is least stable? version x.


Version w
NaSrHg after structural relaxation. Source: Alexandria via LeMat-Bulk, functional PBE.

Size of the total moment ... 0.000 μB per formula unit
Space group ... I4/mmm, No. 139

Cell: 4.7256 4.7256 18.1113 Å, 90.00 90.00 90.00°
Atoms (fractional coordinates):
Na  0.0000  0.5000  0.0000
Na  0.0000  0.5000  0.5000
Na  0.5000  0.0000  0.0000
Na  0.5000  0.0000  0.5000
Sr  0.0000  0.0000  0.1780
Sr  0.0000  0.0000  0.8220
Sr  0.5000  0.5000  0.3220
Sr  0.5000  0.5000  0.6780
Hg  0.0000  0.0000  0.3700
Hg  0.0000  0.0000  0.6300
Hg  0.5000  0.5000  0.1300
Hg  0.5000  0.5000  0.8700


Version x
NaSrHg after structural relaxation. Source: Alexandria via LeMat-Bulk, functional PBE.

Size of the total moment ... 0.000 μB per formula unit
Space group ... P3m1, No. 156

Cell: 5.3090 5.3090 4.1358 Å, 90.00 90.00 120.00°
Atoms (fractional coordinates):
Na  0.0000  0.0000  0.0000
Sr  0.6667  0.3333  0.4979
Hg  0.3333  0.6667  0.9938


Stability check: which of them is least stable? version x.


Version w
NaSr4Hg2 after structural relaxation. Source: Alexandria via LeMat-Bulk, functional PBE.

Size of the total moment ... 0.000 μB per formula unit
Space group ... R-3m, No. 166

Cell: 9.8255 9.8255 9.8255 Å, 34.32 34.32 34.32°
Atoms (fractional coordinates):
Na  0.0000  0.0000  0.0000
Sr  0.1304  0.1304  0.1304
Sr  0.3826  0.3826  0.3826
Sr  0.6174  0.6174  0.6174
Sr  0.8696  0.8696  0.8696
Hg  0.2538  0.2538  0.2538
Hg  0.7462  0.7462  0.7462


Version x
NaSr4Hg2 after structural relaxation. Source: Alexandria via LeMat-Bulk, functional PBE.

Size of the total moment ... 0.001 μB per formula unit
Space group ... R-3m, No. 166

Cell: 11.2038 11.2038 11.2038 Å, 28.93 28.93 28.93°
Atoms (fractional coordinates):
Na  0.0000  0.0000  0.0000
Sr  0.2032  0.2032  0.2032
Sr  0.3886  0.3886  0.3886
Sr  0.6114  0.6114  0.6114
Sr  0.7968  0.7968  0.7968
Hg  0.0960  0.0960  0.0960
Hg  0.9040  0.9040  0.9040


Stability check: which of them is least stable? version x.


Version w
Na2Sr7Hg2 after structural relaxation. Source: Alexandria via LeMat-Bulk, functional PBE.

Size of the total moment ... 0.000 μB per formula unit
Space group ... Cmmm, No. 65

Cell: 8.0766 8.0766 8.2979 Å, 90.00 90.00 105.89°
Atoms (fractional coordinates):
Na  0.1635  0.1635  0.0000
Na  0.8365  0.8365  0.0000
Sr  0.0000  0.0000  0.5000
Sr  0.0000  0.5000  0.2479
Sr  0.0000  0.5000  0.7521
Sr  0.5000  0.0000  0.2479
Sr  0.5000  0.0000  0.7521
Sr  0.5000  0.5000  0.2615
Sr  0.5000  0.5000  0.7385
Hg  0.2854  0.7146  0.5000
Hg  0.7146  0.2854  0.5000


Version x
Na2Sr7Hg2 after structural relaxation. Source: Alexandria via LeMat-Bulk, functional PBE.

Size of the total moment ... 0.000 μB per formula unit
Space group ... Imm2, No. 44

Cell: 11.4647 11.4647 11.4647 Å, 157.15 63.34 121.81°
Atoms (fractional coordinates):
Na  0.0000  0.0000  0.0000
Na  0.6483  0.1483  0.5000
Sr  0.2586  0.6117  0.6470
Sr  0.2939  0.9786  0.3153
Sr  0.3555  0.3555  0.0000
Sr  0.6365  0.7785  0.8580
Sr  0.6634  0.9786  0.6847
Sr  0.9204  0.7785  0.1420
Sr  0.9647  0.6117  0.3530
Hg  0.0357  0.2701  0.7656
Hg  0.5046  0.2701  0.2344


Stability check: which of them is least stable? version w.